1.
A plane-wave DFT calculation with PBE-GGA was carried out for a geometry-optimized FeReIr structure.

- E above lowest polymorph (meV per atom) = 256
- ΔH_f (0 K) (meV per atom) = 182

a b c (Å): 5.4441 5.4236 5.8295
angles (deg): 90.00 103.20 90.00
Space group C2/m (No. 12)
Symmetry-distinct sites (fractional):
Fe (0.0000, 0.2464, 0.0000) [4 per cell]
Re (0.1822, 0.0000, 0.6998) [4 per cell]
Ir (0.1764, 0.5000, 0.6971) [4 per cell]

***

2.
A plane-wave DFT calculation with PBE-GGA was carried out for a geometry-optimized BeGaAgHg2 structure.

- ΔH_f (0 K) (meV per atom) = 306

a b c (Å): 4.8305 4.8305 4.4254
angles (deg): 90.00 90.00 90.00
Space group P4/mmm (No. 123)
Symmetry-distinct sites (fractional):
Be (0.0000, 0.0000, 0.0000) [1 per cell]
Ga (0.0000, 0.0000, 0.5000) [1 per cell]
Ag (0.5000, 0.5000, 0.5000) [1 per cell]
Hg (0.0000, 0.5000, 0.0000) [2 per cell]

***

3.
A plane-wave DFT calculation with PBE-GGA was carried out for a geometry-optimized BaNaTl2Hg2 structure.

- ΔH_f (0 K) (meV per atom) = -297

a b c (Å): 5.1808 5.1808 8.0581
angles (deg): 90.00 90.00 120.00
Space group P-3m1 (No. 164)
Symmetry-distinct sites (fractional):
Ba (0.0000, 0.0000, 0.0000) [1 per cell]
Na (0.0000, 0.0000, 0.5000) [1 per cell]
Tl (0.3333, 0.6667, 0.7000) [2 per cell]
Hg (0.3333, 0.6667, 0.2806) [2 per cell]

***

4.
A plane-wave DFT calculation with PBE-GGA was carried out for a geometry-optimized Sc6Te3As2Pb structure.

- formation energy from raw total energies (kJ/mol of atoms) = -107.56

a b c (Å): 17.8371 4.0475 8.2493
angles (deg): 90.00 103.67 90.00
Space group C2/m (No. 12)
Symmetry-distinct sites (fractional):
Sc (0.0113, 0.0000, 0.2542) [4 per cell]
Sc (0.1690, 0.5000, 0.1148) [4 per cell]
Sc (0.1761, 0.5000, 0.5673) [4 per cell]
Te (0.0000, 0.5000, 0.5000) [2 per cell]
Te (0.1632, 0.0000, 0.8341) [4 per cell]
As (0.1684, 0.0000, 0.3384) [4 per cell]
Pb (0.0000, 0.5000, 0.0000) [2 per cell]

***

5.
A plane-wave DFT calculation with PBE-GGA was carried out for a geometry-optimized Ho6CdHg5 structure.

- ΔH_f (0 K) (meV per atom) = -454

a b c (Å): 5.2294 15.7728 7.4206
angles (deg): 90.00 90.00 90.00
Space group Cmmm (No. 65)
Symmetry-distinct sites (fractional):
Ho (0.0000, 0.0000, 0.2469) [4 per cell]
Ho (0.0000, 0.3320, 0.2505) [8 per cell]
Cd (0.0000, 0.5000, 0.5000) [2 per cell]
Hg (0.0000, 0.1616, 0.5000) [4 per cell]
Hg (0.0000, 0.1658, 0.0000) [4 per cell]
Hg (0.0000, 0.5000, 0.0000) [2 per cell]

***

6.
A plane-wave DFT calculation with PBE-GGA was carried out for a geometry-optimized UMn2Tc structure.

- E above lowest polymorph (meV per atom) = 0
- ΔH_f (0 K) (meV per atom) = 110

a b c (Å): 3.8206 3.8206 4.1800
angles (deg): 90.00 90.00 90.00
Space group P4/mmm (No. 123)
Symmetry-distinct sites (fractional):
U (0.0000, 0.0000, 0.0000) [1 per cell]
Mn (0.0000, 0.5000, 0.5000) [2 per cell]
Tc (0.5000, 0.5000, 0.0000) [1 per cell]

***

7.
A plane-wave DFT calculation with PBE-GGA was carried out for a geometry-optimized SrAcCuSb structure.

- formation energy from raw total energies (kJ/mol of atoms) = -45.26

a b c (Å): 7.9030 7.9030 7.9030
angles (deg): 90.00 90.00 90.00
Space group F-43m (No. 216)
Symmetry-distinct sites (fractional):
Sr (0.0000, 0.0000, 0.0000) [4 per cell]
Ac (0.0000, 0.0000, 0.5000) [4 per cell]
Cu (0.2500, 0.2500, 0.7500) [4 per cell]
Sb (0.2500, 0.2500, 0.2500) [4 per cell]

***

8.
A plane-wave DFT calculation with PBE-GGA was carried out for a geometry-optimized CeCN3 structure.

- formation energy from raw total energies (kJ/mol of atoms) = -42.73

a b c (Å): 3.9486 5.1559 6.3571
angles (deg): 90.00 104.72 90.00
Space group P2_1/m (No. 11)
Symmetry-distinct sites (fractional):
Ce (0.1757, 0.2500, 0.2968) [2 per cell]
C (0.2660, 0.2500, 0.7652) [2 per cell]
N (0.0980, 0.2500, 0.9231) [2 per cell]
N (0.3289, 0.0213, 0.6780) [4 per cell]

***

Computed values of calculated volume (unit: Å³ per atom) for the preceding records, in sequence: 13.96, 20.65, 31.22, 24.11, 25.50, 15.25, 30.85, 12.52.